Entry 1:
6
Lattice="3.664 0.000 0.000 -1.832 3.172 0.000 0.000 0.000 10.587" Properties=species:S:1:pos:R:3 comment="NbTeIr | Alexandria via LeMat-Bulk | PBE | relaxed" spacegroup="No. 187" magnetic_moment_mub_per_fu=0.00 formation_energy_uncorrected_ev_per_atom=0.137 pbc="T T T"
Ir 1.832 0.705 0.000
Ir 0.000 1.762 5.293
Te 1.832 0.705 3.561
Te 1.832 0.705 7.025
Nb 0.000 1.762 8.976
Nb 0.000 1.762 1.611

***

Entry 2:
6
Lattice="3.290 0.000 0.000 0.000 3.454 0.000 0.000 0.000 8.052" Properties=species:S:1:pos:R:3 comment="ZnGaPt | Alexandria via LeMat-Bulk | PBE | relaxed" spacegroup="No. 44" magnetic_moment_mub_per_fu=0.00 formation_energy_ev_per_atom=-0.45 pbc="T T T"
Zn 0.000 1.727 0.332
Zn 1.645 0.000 4.358
Ga 0.000 1.727 2.973
Ga 1.645 0.000 6.999
Pt 0.000 1.727 5.682
Pt 1.645 0.000 1.656

***

Entry 3:
18
Lattice="-1.211 -1.276 -3.594 2.855 -7.264 3.844 -9.397 1.240 2.727" Properties=species:S:1:pos:R:3 comment="TmGa2Pd3 | Alexandria via LeMat-Bulk | PBE | relaxed" spacegroup="No. 12" magnetic_moment_mub_per_fu=0.00 formation_energy_ev_per_atom=-0.77 pbc="T T T"
Tm -5.908 -1.732 2.606
Tm -1.845 -5.568 0.371
Tm 0.000 0.000 0.000
Ga -0.320 -2.875 1.129
Ga -7.433 -4.425 1.848
Ga 0.008 -6.945 2.463
Ga -7.761 -0.355 0.514
Ga -3.480 -5.051 2.966
Ga -4.273 -2.249 0.011
Pd -2.930 -0.219 1.065
Pd -4.823 -7.081 1.912
Pd -2.708 -2.931 1.953
Pd -5.046 -4.369 1.024
Pd -1.864 -2.156 -0.834
Pd -5.890 -5.143 3.811
Pd -5.304 -0.018 -0.434
Pd 1.036 -4.980 1.419
Pd -8.789 -2.319 1.558

***

Entry 4:
5
Lattice="-3.582 -2.012 0.025 1.653 -2.914 2.378 -1.183 2.150 3.456" Properties=species:S:1:pos:R:3 comment="ScTi2GaH | Alexandria via LeMat-Bulk | PBE | relaxed" spacegroup="No. 123" magnetic_moment_mub_per_fu=0.00 total_energy_ev_per_cell=-30.4 pbc="T T T"
Sc -0.591 1.075 1.728
H 0.000 0.000 0.000
Ga -1.556 -1.388 2.930
Ti 0.827 -1.457 1.189
Ti -1.791 -1.006 0.013

***

Entry 5:
14
Lattice="8.244 0.032 -0.055 -2.759 7.768 0.055 -2.725 -3.912 6.725" Properties=species:S:1:pos:R:3 comment="Ce5SmTl8 | Alexandria via LeMat-Bulk | PBE | relaxed" spacegroup="No. 82" magnetic_moment_mub_per_fu=6.25 formation_energy_ev_per_atom=-0.16 pbc="T T T"
Ce 6.864 2.437 0.786
Ce 4.145 5.852 1.675
Ce 2.749 2.461 4.204
Ce 2.759 -1.940 3.335
Ce 2.730 0.971 0.006
Sm -1.363 0.958 5.058
Tl -1.140 5.633 0.299
Tl 5.764 -2.071 4.694
Tl 4.822 0.507 2.520
Tl 1.590 -0.169 5.866
Tl 1.605 3.751 1.386
Tl 0.202 3.704 5.908
Tl 0.692 0.510 2.550
Tl -2.498 3.687 3.679

***

Entry 6:
5
Lattice="5.434 0.000 0.000 0.000 5.434 0.000 0.000 0.000 5.434" Properties=species:S:1:pos:R:3 comment="AcTh3Co | Alexandria via LeMat-Bulk | PBE | relaxed" spacegroup="No. 221" magnetic_moment_mub_per_fu=0.00 formation_energy_ev_per_atom=0.02 pbc="T T T"
Ac 2.717 2.717 2.717
Co 0.000 0.000 0.000
Th 0.000 2.717 0.000
Th 0.000 0.000 2.717
Th 2.717 0.000 0.000

***

Entry 7:
9
Lattice="4.703 0.000 0.000 0.000 4.703 0.000 0.000 0.000 7.165" Properties=species:S:1:pos:R:3 comment="NdSi2Pd5Au | Alexandria via LeMat-Bulk | PBE | relaxed" spacegroup="No. 123" magnetic_moment_mub_per_fu=0.00 formation_energy_uncorrected_ev_per_atom=-0.526 pbc="T T T"
Nd 0.000 0.000 3.583
Si 2.352 2.352 1.133
Si 2.352 2.352 6.032
Pd 0.000 2.352 1.687
Pd 2.352 0.000 1.687
Pd 0.000 2.352 5.478
Pd 2.352 0.000 5.478
Pd 2.352 2.352 3.583
Au 0.000 0.000 0.000

***

Entry 8:
5
Lattice="5.426 0.000 0.000 0.000 5.426 0.000 0.000 0.000 5.426" Properties=species:S:1:pos:R:3 comment="CaPbSe3 | Alexandria via LeMat-Bulk | PBE | relaxed" polymorph_energy_ev_per_fu=0.26 spacegroup="No. 221" magnetic_moment_mub_per_fu=1.02 formation_energy_uncorrected_ev_per_atom=-0.278 pbc="T T T"
Pb 2.713 2.713 2.713
Ca 0.000 0.000 0.000
Se 0.000 2.713 0.000
Se 0.000 0.000 2.713
Se 2.713 0.000 0.000

***

Entry 9:
15
Lattice="7.386 0.000 0.000 -3.693 6.397 0.000 0.000 0.000 9.044" Properties=species:S:1:pos:R:3 comment="Rb3AgGe2Cl9 | Alexandria via LeMat-Bulk | PBE | relaxed" spacegroup="No. 164" magnetic_moment_mub_per_fu=0.00 formation_energy_uncorrected_ev_per_atom=-1.235 pbc="T T T"
Rb 0.000 4.265 6.022
Rb 0.000 0.000 0.000
Rb 3.693 2.132 3.022
Ag 0.000 0.000 4.522
Ge 0.000 4.265 1.563
Ge 3.693 2.132 7.481
Cl 5.484 1.098 6.069
Cl 3.693 4.200 6.069
Cl 1.903 1.098 6.069
Cl 1.791 5.298 2.975
Cl 0.000 2.197 2.975
Cl -1.791 5.298 2.975
Cl 3.693 0.000 0.000
Cl -1.847 3.198 0.000
Cl 1.847 3.198 0.000

***

Entry 10:
5
Lattice="5.237 0.000 0.000 0.000 5.645 0.000 0.000 0.000 5.237" Properties=species:S:1:pos:R:3 comment="BaVTc2Cl | Alexandria via LeMat-Bulk | PBE | relaxed" spacegroup="No. 123" magnetic_moment_mub_per_fu=1.48 formation_energy_uncorrected_ev_per_atom=2.212 pbc="T T T"
Cl 0.000 2.823 0.000
V 2.618 2.823 2.618
Ba 0.000 0.000 0.000
Tc 0.000 0.000 2.618
Tc 2.618 0.000 0.000

***

Entry 11:
6
Lattice="2.704 -0.001 0.000 0.001 2.704 0.000 0.000 0.000 11.371" Properties=species:S:1:pos:R:3 comment="MnVZn4 | Alexandria via LeMat-Bulk | PBE | relaxed" polymorph_energy_ev_per_fu=0.03 spacegroup="No. 123" magnetic_moment_mub_per_fu=2.64 formation_energy_ev_per_atom=0.01 pbc="T T T"
Mn 1.352 1.351 5.686
V 0.000 0.000 0.000
Zn 1.352 1.351 9.455
Zn 1.352 1.352 1.916
Zn 2.704 2.703 7.487
Zn 0.000 0.000 3.884

***

Entry 12:
4
Lattice="-4.697 2.117 -0.729 -4.046 0.163 -3.269 -2.979 -3.327 1.795" Properties=species:S:1:pos:R:3 comment="Sc2CuAu | Alexandria via LeMat-Bulk | PBE | relaxed" polymorph_energy_ev_per_fu=0.49 spacegroup="No. 8" magnetic_moment_mub_per_fu=0.00 formation_energy_ev_per_atom=-0.42 pbc="T T T"
Au -6.035 -0.584 -1.099
Cu -2.749 -0.168 -0.576
Sc -8.780 2.058 -3.836
Sc -8.761 -0.594 -1.791

***

Entry 13:
5
Lattice="4.125 0.000 0.000 0.000 4.125 0.000 -2.063 -2.063 5.113" Properties=species:S:1:pos:R:3 comment="TbCoGe2Pd | Alexandria via LeMat-Bulk | PBE | relaxed" spacegroup="No. 119" magnetic_moment_mub_per_fu=1.20 formation_energy_ev_per_atom=-0.66 pbc="T T T"
Tb 0.000 0.000 0.000
Co 0.000 2.063 2.557
Ge 2.063 2.063 1.249
Ge 0.000 0.000 3.865
Pd 2.063 0.000 2.557

***

Entry 14:
5
Lattice="-0.844 5.343 -0.106 -4.722 -0.796 -2.518 -2.502 -0.300 4.787" Properties=species:S:1:pos:R:3 comment="CrSeBr3 | Alexandria via LeMat-Bulk | PBE | relaxed" spacegroup="No. 221" magnetic_moment_mub_per_fu=5.49 formation_energy_uncorrected_ev_per_atom=0.423 pbc="T T T"
Cr -4.034 2.124 1.082
Se 0.000 0.000 0.000
Br -2.361 -0.398 -1.259
Br -1.251 -0.150 2.394
Br -0.422 2.671 -0.053

***

Entry 15:
19
Lattice="-8.753 -2.472 0.846 3.437 -8.451 -0.454 1.588 1.301 8.900" Properties=species:S:1:pos:R:3 comment="K6NpCl12 | Alexandria via LeMat-Bulk | PBE | relaxed" spacegroup="No. 148" magnetic_moment_mub_per_fu=2.36 formation_energy_uncorrected_ev_per_atom=-1.651 pbc="T T T"
K 0.790 -2.709 5.462
K -2.898 -3.718 7.787
K 0.518 -7.174 5.579
K -4.518 -6.913 3.830
K -0.830 -5.903 1.505
K -4.245 -2.447 3.713
Np 0.000 0.000 0.000
Cl -2.040 -1.612 5.707
Cl 1.302 -5.038 3.501
Cl -3.678 -4.749 1.802
Cl -1.688 -8.009 3.586
Cl -5.030 -4.584 5.792
Cl -0.050 -4.873 7.491
Cl 4.333 -7.122 6.056
Cl 1.096 -8.970 0.211
Cl 2.083 -1.132 8.723
Cl -8.061 -2.500 3.237
Cl -4.823 -0.652 9.082
Cl -5.811 -8.490 0.570

***

Entry 16:
5
Lattice="-2.233 -2.800 1.827 0.649 -2.518 -3.066 5.500 -5.361 2.931" Properties=species:S:1:pos:R:3 comment="Na2Nb2Pb | Alexandria via LeMat-Bulk | PBE | relaxed" polymorph_energy_ev_per_fu=0.00 spacegroup="No. 139" magnetic_moment_mub_per_fu=0.24 formation_energy_ev_per_atom=0.74 pbc="T T T"
Pb 0.000 0.000 0.000
Na 1.237 -5.410 2.069
Na 2.678 -5.269 -0.377
Nb 0.141 -3.060 -0.093
Nb 3.774 -7.619 1.785

***

Entry 17:
12
Lattice="-2.598 0.965 2.660 0.029 -2.668 0.997 10.457 3.460 8.957" Properties=species:S:1:pos:R:3 comment="RePtN | Alexandria via LeMat-Bulk | PBE | relaxed" polymorph_energy_ev_per_fu=0.62 spacegroup="No. 44" magnetic_moment_mub_per_fu=0.00 formation_energy_uncorrected_ev_per_atom=0.216 pbc="T T T"
Re 5.599 0.514 5.282
Re -0.942 0.601 1.635
Re 7.425 2.457 6.360
Re 0.913 -0.124 3.710
Pt 9.920 1.944 8.983
Pt 3.378 2.030 5.336
Pt 3.606 -0.145 3.575
Pt 7.521 3.401 8.885
N -0.538 1.318 3.543
N 1.123 0.701 1.843
N 6.004 1.231 7.190
N 5.067 1.579 8.150

***

Entry 18:
7
Lattice="-1.133 -4.900 -0.724 1.529 -2.364 -4.231 7.058 -4.570 2.052" Properties=species:S:1:pos:R:3 comment="CeCd2Hg4 | Alexandria via LeMat-Bulk | PBE | relaxed" spacegroup="No. 166" magnetic_moment_mub_per_fu=1.02 formation_energy_ev_per_atom=-0.17 pbc="T T T"
Ce 0.000 0.000 0.000
Cd 5.733 -8.920 -2.100
Cd 1.721 -2.914 -0.802
Hg 1.461 -5.214 -2.663
Hg 3.179 -8.128 -3.466
Hg 5.993 -6.620 -0.239
Hg 4.274 -3.706 0.564

***

Entry 19:
4
Lattice="-3.336 -4.129 -0.367 -0.535 -2.612 4.604 -0.320 5.127 -1.384" Properties=species:S:1:pos:R:3 comment="Mg2ScW | Alexandria via LeMat-Bulk | PBE | relaxed" polymorph_energy_ev_per_fu=0.81 spacegroup="No. 139" magnetic_moment_mub_per_fu=0.72 formation_energy_ev_per_atom=0.39 pbc="T T T"
Mg 0.000 0.000 0.000
Mg -1.936 -3.370 2.119
Sc -1.395 -0.428 2.669
W -2.796 -1.186 0.184

***

Entry 20:
5
Lattice="-0.899 1.206 -3.234 -3.437 -0.619 0.725 -2.964 8.594 2.062" Properties=species:S:1:pos:R:3 comment="NbGe2Se2 | Alexandria via LeMat-Bulk | PBE | relaxed" polymorph_energy_ev_per_fu=0.71 spacegroup="No. 139" magnetic_moment_mub_per_fu=0.00 formation_energy_uncorrected_ev_per_atom=0.320 pbc="T T T"
Nb 0.000 0.000 0.000
Ge -2.284 1.499 -0.773
Ge -5.017 7.682 0.325
Se -3.016 5.047 -1.213
Se -4.285 4.134 0.766

***

Entry 21:
4
Lattice="3.755 1.836 0.893 0.284 2.853 3.171 2.069 -1.007 3.602" Properties=species:S:1:pos:R:3 comment="Nb2SiC | Alexandria via LeMat-Bulk | PBE | relaxed" spacegroup="No. 225" magnetic_moment_mub_per_fu=0.00 formation_energy_uncorrected_ev_per_atom=0.495 pbc="T T T"
C 0.000 0.000 0.000
Nb 1.527 0.920 1.916
Nb 4.581 2.761 5.749
Si 3.054 1.841 3.833